Entry from the Alexandria database: a relaxed CoCu crystal (PBE).

Size of the total moment, Bohr magnetons per cell: 10.1
ΔE_f, eV per atom: 0.15
Crystal system: orthorhombic
Space-group type: No. 38

Lattice parameters (Å, degrees): 4.1220 7.6042 4.3844 90.00 90.00 90.00
Last column: magnetic moment on the atom in μB.
Positions (direct):
Cu (0.0000, 0.3324, 0.6656)  0.07
Co (0.5000, 0.1634, 0.5052)  1.67
Cu (0.0000, 0.6676, 0.6656)  0.07
Co (0.5000, 0.3366, 0.0052)  1.67
Cu (0.0000, 0.1676, 0.1656)  0.07
Cu (0.5000, 0.0000, 0.0007)  0.08
Co (0.5000, 0.8366, 0.5052)  1.67
Co (0.5000, 0.6634, 0.0052)  1.67
Cu (0.5000, 0.5000, 0.5007)  0.08
Cu (0.0000, 0.8324, 0.1656)  0.07
Co (0.0000, 0.5000, 0.1599)  1.64
Co (0.0000, 0.0000, 0.6599)  1.64

Entry from the Alexandria database: a relaxed CoCu2 crystal (PBE).

Size of the total moment, Bohr magnetons per cell: 3.3
ΔE_f, eV per atom: 0.21
Crystal system: tetragonal
Space-group type: No. 141

Lattice parameters (Å, degrees): 12.0968 12.0968 12.0968 168.36 168.36 16.49
Last column: magnetic moment on the atom in μB.
Positions (direct):
Cu (0.4208, 0.4208, 0.0000)  0.02
Cu (0.5792, 0.5792, 0.0000)  0.02
Co (0.0000, 0.0000, 0.0000)  1.66
Cu (0.1708, 0.6708, 0.5000)  0.02
Cu (0.3292, 0.8292, 0.5000)  0.02
Co (0.7500, 0.2500, 0.5000)  1.66

Number 1: theoretical density 8.88 g/cm3. Number 2: theoretical density 8.57 g/cm3.